Below is an optimized crystal structure of Zn2Ag6Au, with properties calculated at the PBE level.

Calculated values
Total moment   0.00 μB per formula unit
Raw total energy   -2.59 eV/atom
Energy relative to the elements   -39 meV/atom

abc: 5.5157 5.5157 10.3250
angles: 107.65 107.65 31.28
With the nearest neighbours (Å) after each atom.
Fractional coordinates of all 9 atoms:
Zn: 0.1486 0.1486 0.2068  2 Au 2.67, 6 Ag 2.72-2.77, 2 Zn 2.97
Zn: 0.8514 0.8514 0.7932  2 Au 2.67, 6 Ag 2.72-2.77, 2 Zn 2.97
Ag: 0.1709 0.1709 0.8749  2 Zn 2.76, 2 Au 2.94, 7 Ag 2.97-3.04
Ag: 0.1888 0.1888 0.5870  2 Zn 2.72, 10 Ag 2.89-3.04
Ag: 0.4802 0.4802 0.6471  2 Zn 2.77, 9 Ag 2.89-2.97
Ag: 0.5198 0.5198 0.3529  2 Zn 2.77, 9 Ag 2.89-2.97
Ag: 0.8112 0.8112 0.4130  2 Zn 2.72, 10 Ag 2.89-3.04
Ag: 0.8291 0.8291 0.1251  2 Zn 2.76, 2 Au 2.94, 7 Ag 2.97-3.04
Au: 0.5000 0.5000 0.0000  4 Zn 2.67, 4 Ag 2.94, 2 Au 2.97